Here is a relaxed DyHgGe crystal from Alexandria via LeMat-Bulk. Energies are from PBE.

Summary:
**Energy of formation**: -0.28 eV/atom
**Calculated total energy**: -3.457 eV/atom
**Symmetry**: No. 107

Lattice parameters (Å, degrees): 6.297 6.297 6.297 148.00 148.00 45.88
Fractional positions:
1 Dy 0.000 0.000 0.000
2 Hg 0.320 0.320 0.000
3 Ge 0.661 0.661 0.000

Here is a relaxed PaMn2Si2B crystal from Alexandria via LeMat-Bulk. Energies are from PBE.

Summary:
**Calculated total energy**: -8.135 eV/atom
**ΔE_f (raw)**: -0.5748 eV/atom
**Symmetry**: No. 123

Lattice parameters (Å, degrees): 3.966 3.966 5.139 90.00 90.00 90.00
Fractional positions:
1 Pa 0.000 0.000 0.000
2 Mn 0.000 0.500 0.500
3 Mn 0.500 0.000 0.500
4 Si 0.500 0.500 0.235
5 Si 0.500 0.500 0.765
6 B 0.000 0.000 0.500

Here is a relaxed B5C crystal from Alexandria via LeMat-Bulk. Energies are from PBE.

Summary:
**Energy above the lowest structure with this stoichiometry**: 254 meV per atom
**Energy of formation**: 0.45 eV/atom
**Calculated total energy**: -6.651 eV/atom
**Symmetry**: No. 12

Lattice parameters (Å, degrees): 6.407 6.407 5.492 92.50 92.50 21.42
Fractional positions:
1 B 0.046 0.046 0.110
2 B 0.108 0.108 0.819
3 B 0.275 0.275 0.616
4 B 0.409 0.409 0.689
5 B 0.445 0.445 0.391
6 B 0.555 0.555 0.609
7 B 0.591 0.591 0.311
8 B 0.725 0.725 0.384
9 B 0.892 0.892 0.181
10 B 0.954 0.954 0.890
11 C 0.232 0.232 0.928
12 C 0.768 0.768 0.072

Here is a relaxed La2MnRh crystal from Alexandria via LeMat-Bulk. Energies are from PBE.

Summary:
**Energy above the lowest structure with this stoichiometry**: 200 meV per atom
**Energy of formation**: -0.05 eV/atom
**Calculated total energy**: -6.645 eV/atom
**Symmetry**: No. 12

Lattice parameters (Å, degrees): 3.968 3.968 8.356 103.99 103.99 60.32
Fractional positions:
1 La 0.239 0.239 0.216
2 La 0.761 0.761 0.784
3 Mn 0.000 0.000 0.500
4 Rh 0.500 0.500 0.000

Here is a relaxed P3AuO crystal from Alexandria via LeMat-Bulk. Energies are from PBE.

Summary:
**Energy above the lowest structure with this stoichiometry**: 0 meV per atom
**Calculated total energy**: -4.190 eV/atom
**ΔE_f (raw)**: 0.7030 eV/atom
**Symmetry**: No. 221

Lattice parameters (Å, degrees): 4.220 4.220 4.220 90.00 90.00 90.00
Fractional positions:
1 P 0.000 0.000 0.500
2 P 0.000 0.500 0.000
3 P 0.500 0.000 0.000
4 Au 0.500 0.500 0.500
5 O 0.000 0.000 0.000

Here is a relaxed KPbSeBr2 crystal from Alexandria via LeMat-Bulk. Energies are from PBE.

Summary:
**Energy above the lowest structure with this stoichiometry**: 0 meV per atom
**Calculated total energy**: -3.124 eV/atom
**ΔE_f (raw)**: -0.7963 eV/atom
**Symmetry**: No. 123

Lattice parameters (Å, degrees): 5.822 5.822 5.571 90.00 90.00 90.00
Fractional positions:
1 K 0.000 0.000 0.000
2 Pb 0.500 0.500 0.500
3 Se 0.500 0.500 0.000
4 Br 0.000 0.500 0.500
5 Br 0.500 0.000 0.500

Here is a relaxed PrNd5YEr2 crystal from Alexandria via LeMat-Bulk. Energies are from PBE.

Summary:
**Energy of formation**: 0.15 eV/atom
**Calculated total energy**: -4.763 eV/atom
**Symmetry**: No. 36

Lattice parameters (Å, degrees): 10.644 10.644 10.784 90.00 90.00 149.05
Fractional positions:
1 Pr 0.202 0.798 0.500
2 Pr 0.798 0.202 0.000
3 Nd 0.016 0.984 0.513
4 Nd 0.281 0.719 0.799
5 Nd 0.296 0.704 0.194
6 Nd 0.392 0.608 0.516
7 Nd 0.479 0.521 0.234
8 Nd 0.521 0.479 0.734
9 Nd 0.608 0.392 0.016
10 Nd 0.704 0.296 0.694
11 Nd 0.719 0.281 0.299
12 Nd 0.984 0.016 0.013
13 Y 0.410 0.590 0.948
14 Y 0.590 0.410 0.448
15 Er 0.110 0.890 0.229
16 Er 0.116 0.884 0.807
17 Er 0.884 0.116 0.307
18 Er 0.890 0.110 0.729

Here is a relaxed Ce2HfAg crystal from Alexandria via LeMat-Bulk. Energies are from PBE.

Summary:
**Energy above the lowest structure with this stoichiometry**: 81 meV per atom
**Energy of formation**: 0.12 eV/atom
**Calculated total energy**: -6.049 eV/atom
**Symmetry**: No. 123

Lattice parameters (Å, degrees): 5.558 5.558 3.275 90.00 90.00 90.00
Fractional positions:
1 Ce 0.000 0.500 0.000
2 Ce 0.500 0.000 0.000
3 Hf 0.000 0.000 0.500
4 Ag 0.500 0.500 0.500

Here is a relaxed GdMgNi2 crystal from Alexandria via LeMat-Bulk. Energies are from PBE.

Summary:
**Energy above the lowest structure with this stoichiometry**: 21 meV per atom
**Energy of formation**: -0.22 eV/atom
**Calculated total energy**: -7.031 eV/atom
**Symmetry**: No. 123

Lattice parameters (Å, degrees): 3.275 3.275 6.356 90.00 90.00 90.00
Fractional positions:
1 Gd 0.000 0.000 0.000
2 Mg 0.000 0.000 0.500
3 Ni 0.500 0.500 0.283
4 Ni 0.500 0.500 0.717

Here is a relaxed BeGeSbW crystal from Alexandria via LeMat-Bulk. Energies are from PBE.

Summary:
**Energy above the lowest structure with this stoichiometry**: 99 meV per atom
**Calculated total energy**: -6.033 eV/atom
**ΔE_f (raw)**: 0.3217 eV/atom
**Symmetry**: No. 6

Lattice parameters (Å, degrees): 3.090 3.455 6.915 90.00 102.99 90.00
Fractional positions:
1 Be 0.000 0.000 0.000
2 Ge 0.829 0.000 0.659
3 Sb 0.128 0.500 0.257
4 W 0.440 0.500 0.880

Here is a relaxed LiTmBiPt crystal from Alexandria via LeMat-Bulk. Energies are from PBE.

Summary:
**Energy of formation**: -0.63 eV/atom
**Calculated total energy**: -4.710 eV/atom
**Symmetry**: No. 216

Lattice parameters (Å, degrees): 4.897 4.897 4.897 60.00 60.00 60.00
Fractional positions:
1 Li 0.000 0.000 0.000
2 Tm 0.750 0.750 0.750
3 Bi 0.250 0.250 0.250
4 Pt 0.500 0.500 0.500

Here is a relaxed NdLuBeCd crystal from Alexandria via LeMat-Bulk. Energies are from PBE.

Summary:
**Energy of formation**: -0.01 eV/atom
**Calculated total energy**: -3.492 eV/atom
**Symmetry**: No. 216

Lattice parameters (Å, degrees): 5.132 5.132 5.132 60.00 60.00 60.00
Fractional positions:
1 Nd 0.000 0.000 0.000
2 Lu 0.500 0.500 0.500
3 Be 0.250 0.250 0.250
4 Cd 0.750 0.750 0.750

Here is a relaxed TmCrFeGe3 crystal from Alexandria via LeMat-Bulk. Energies are from PBE.

Summary:
**Energy of formation**: -0.07 eV/atom
**Calculated total energy**: -6.137 eV/atom
**Symmetry**: No. 63

Lattice parameters (Å, degrees): 5.969 5.969 7.487 90.00 90.00 123.95
Fractional positions:
1 Tm 0.237 0.763 0.750
2 Tm 0.763 0.237 0.250
3 Cr 0.068 0.932 0.250
4 Cr 0.932 0.068 0.750
5 Fe 0.493 0.507 0.250
6 Fe 0.507 0.493 0.750
7 Ge 0.251 0.251 0.000
8 Ge 0.251 0.251 0.500
9 Ge 0.281 0.719 0.250
10 Ge 0.719 0.281 0.750
11 Ge 0.749 0.749 0.000
12 Ge 0.749 0.749 0.500

Here is a relaxed CdIn2Br crystal from Alexandria via LeMat-Bulk. Energies are from PBE.

Summary:
**Energy above the lowest structure with this stoichiometry**: 52 meV per atom
**Calculated total energy**: -2.175 eV/atom
**ΔE_f (raw)**: -0.1589 eV/atom
**Symmetry**: No. 47

Lattice parameters (Å, degrees): 3.700 5.316 5.716 90.00 90.00 90.00
Fractional positions:
1 Cd 0.000 0.000 0.000
2 In 0.000 0.500 0.500
3 In 0.500 0.500 0.000
4 Br 0.500 0.000 0.500

Here is a relaxed Fe5Ir6Rh crystal from Alexandria via LeMat-Bulk. Energies are from PBE.

Summary:
**Energy of formation**: -0.03 eV/atom
**Calculated total energy**: -8.600 eV/atom
**Symmetry**: No. 65

Lattice parameters (Å, degrees): 6.008 6.008 7.397 90.00 90.00 143.16
Fractional positions:
1 Fe 0.000 0.000 0.000
2 Fe 0.332 0.668 0.500
3 Fe 0.333 0.667 0.000
4 Fe 0.667 0.333 0.000
5 Fe 0.668 0.332 0.500
6 Ir 0.167 0.833 0.244
7 Ir 0.167 0.833 0.756
8 Ir 0.500 0.500 0.243
9 Ir 0.500 0.500 0.757
10 Ir 0.833 0.167 0.244
11 Ir 0.833 0.167 0.756
12 Rh 0.000 0.000 0.500

Here is a relaxed VGeAs2Ru crystal from Alexandria via LeMat-Bulk. Energies are from PBE.

Summary:
**Energy of formation**: 0.95 eV/atom
**Calculated total energy**: -5.513 eV/atom
**Symmetry**: No. 123

Lattice parameters (Å, degrees): 4.810 4.810 4.721 90.00 90.00 90.00
Fractional positions:
1 V 0.000 0.000 0.000
2 Ge 0.500 0.500 0.000
3 As 0.000 0.500 0.500
4 As 0.500 0.000 0.500
5 Ru 0.500 0.500 0.500

Here is a relaxed NdCdGa2Au2 crystal from Alexandria via LeMat-Bulk. Energies are from PBE.

Summary:
**Energy of formation**: -0.52 eV/atom
**Calculated total energy**: -3.566 eV/atom
**Symmetry**: No. 164

Lattice parameters (Å, degrees): 4.503 4.503 7.183 90.00 90.00 120.00
Fractional positions:
1 Nd 0.000 0.000 0.000
2 Cd 0.000 0.000 0.500
3 Ga 0.333 0.667 0.735
4 Ga 0.667 0.333 0.265
5 Au 0.333 0.667 0.287
6 Au 0.667 0.333 0.713

Here is a relaxed CeAl2Sn crystal from Alexandria via LeMat-Bulk. Energies are from PBE.

Summary:
**Energy of formation**: -0.41 eV/atom
**Calculated total energy**: -4.767 eV/atom
**Symmetry**: No. 123

Lattice parameters (Å, degrees): 4.485 4.485 4.421 90.00 90.00 90.00
Fractional positions:
1 Ce 0.000 0.000 0.000
2 Al 0.000 0.500 0.500
3 Al 0.500 0.000 0.500
4 Sn 0.500 0.500 0.000

Here is a relaxed Y4HoAu2 crystal from Alexandria via LeMat-Bulk. Energies are from PBE.

Summary:
**Energy of formation**: -0.26 eV/atom
**Calculated total energy**: -5.545 eV/atom
**Symmetry**: No. 166

Lattice parameters (Å, degrees): 10.216 10.216 10.216 28.37 28.37 28.37
Fractional positions:
1 Y 0.103 0.103 0.103
2 Y 0.298 0.298 0.298
3 Y 0.702 0.702 0.702
4 Y 0.897 0.897 0.897
5 Ho 0.500 0.500 0.500
6 Au 0.399 0.399 0.399
7 Au 0.601 0.601 0.601

Here is a relaxed RbAcZnTe3 crystal from Alexandria via LeMat-Bulk. Energies are from PBE.

Summary:
**Calculated total energy**: -3.740 eV/atom
**ΔE_f (raw)**: -1.1112 eV/atom
**Symmetry**: No. 11

Lattice parameters (Å, degrees): 10.335 4.662 10.863 90.00 105.93 90.00
Fractional positions:
1 Rb 0.203 0.250 0.238
2 Rb 0.797 0.750 0.762
3 Ac 0.326 0.750 0.852
4 Ac 0.674 0.250 0.148
5 Zn 0.081 0.250 0.609
6 Zn 0.919 0.750 0.391
7 Te 0.097 0.250 0.856
8 Te 0.185 0.750 0.527
9 Te 0.453 0.750 0.167
10 Te 0.547 0.250 0.833
11 Te 0.815 0.250 0.473
12 Te 0.903 0.750 0.144